1.
Material: NdSm2Ga2Hg2
Method: DFT, PBE-GGA
State: relaxed

abc: 4.681 4.681 9.962
angles: 76.41 76.41 60.00
Element x y z (fractional)
Sm (0.129, 0.129, 0.613)
Sm (0.871, 0.871, 0.387)
Ga (0.252, 0.252, 0.243)
Hg (0.397, 0.397, 0.809)
Nd (0.000, 0.000, 0.000)
Ga (0.748, 0.748, 0.757)
Hg (0.603, 0.603, 0.191)

Computed properties:
Density of states at the Fermi level in states/eV per atom: 0.534
Formation energy in eV/atom: -0.386



2.
Material: NpAlW
Method: DFT, PBE-GGA
State: relaxed

abc: 4.760 5.198 8.445
angles: 91.33 90.00 90.00
Each line ends with the local moment (μB).
Element x y z (fractional)
W (0.750, 0.063, 0.423)  -0.02
Np (0.250, 0.257, 0.237)  0.61
Np (0.750, 0.243, 0.763)  0.61
Np (0.750, 0.743, 0.763)  0.61
Al (0.750, 0.999, 0.089)  0.00
W (0.250, 0.937, 0.577)  -0.02
Al (0.250, 0.001, 0.911)  0.00
Al (0.750, 0.499, 0.089)  0.00
Np (0.250, 0.757, 0.237)  0.61
W (0.750, 0.563, 0.423)  -0.02
W (0.250, 0.437, 0.577)  -0.02
Al (0.250, 0.501, 0.911)  0.00

Computed properties:
Energy relative to the lowest polymorph listed for this composition in meV per atom: 72
Density of states at the Fermi level in states/eV per atom: 1.759
Formation energy in eV/atom: 0.277



3.
Material: TbPmNdDy
Method: DFT, PBE-GGA
State: relaxed

abc: 5.739 5.739 5.739
angles: 60.00 60.00 60.00
Element x y z (fractional)
Pm (0.500, 0.500, 0.500)
Nd (0.000, 0.000, 0.000)
Dy (0.250, 0.250, 0.250)
Tb (0.750, 0.750, 0.750)

Computed properties:
Energy relative to the lowest polymorph listed for this composition in meV per atom: 109
Density of states at the Fermi level in states/eV per atom: 2.113
Formation energy in eV/atom: 0.125



4.
Material: CsCaHSe2
Method: DFT, PBE-GGA
State: relaxed

abc: 5.082 7.890 8.991
angles: 116.02 90.00 90.00
Element x y z (fractional)
Se (0.209, 0.092, 0.183)
Ca (0.500, 0.750, 0.000)
Cs (0.273, 0.750, 0.500)
H (0.000, 0.000, 0.000)
Se (0.791, 0.592, 0.183)
Se (0.209, 0.408, 0.817)
Ca (0.500, 0.250, 0.000)
Se (0.791, 0.908, 0.817)
H (0.000, 0.500, 0.000)
Cs (0.727, 0.250, 0.500)

Computed properties:
Density of states at the Fermi level in states/eV per atom: 0.000
Total DFT energy (no corrections) in eV/atom: -3.6837



5.
Material: LaIrOs2
Method: DFT, PBE-GGA
State: relaxed

abc: 4.785 4.785 5.951
angles: 79.01 79.01 35.17
Element x y z (fractional)
Os (0.990, 0.990, 0.095)
Os (0.252, 0.252, 0.216)
La (0.744, 0.744, 0.746)
Ir (0.514, 0.514, 0.443)

Computed properties:
Energy relative to the lowest polymorph listed for this composition in meV per atom: 119
Density of states at the Fermi level in states/eV per atom: 1.025
Formation energy in eV/atom: 0.311



6.
Material: KVSCl2
Method: DFT, PBE-GGA
State: relaxed

abc: 5.054 5.054 4.575
angles: 90.00 90.00 90.00
Each line ends with the local moment (μB).
Element x y z (fractional)
Cl (0.000, 0.500, 0.000)  0.00
K (0.500, 0.500, 0.500)  0.00
S (0.000, 0.000, 0.500)  -0.14
Cl (0.500, 0.000, 0.000)  0.00
V (0.000, 0.000, 0.000)  1.94

Computed properties:
Energy relative to the lowest polymorph listed for this composition in meV per atom: 0
Density of states at the Fermi level in states/eV per atom: 0.283
Uncorrected formation energy in eV/atom: -1.219



7.
Material: Hg2PAuSe
Method: DFT, PBE-GGA
State: relaxed

abc: 5.183 4.648 5.183
angles: 90.00 90.00 90.00
Element x y z (fractional)
Se (0.500, 0.500, 0.500)
P (0.000, 0.000, 0.000)
Hg (0.500, 0.000, 0.000)
Au (0.000, 0.500, 0.000)
Hg (0.000, 0.000, 0.500)

Computed properties:
Density of states at the Fermi level in states/eV per atom: 1.105
Uncorrected formation energy in eV/atom: 0.340



8.
Material: RbPuSb2
Method: DFT, PBE-GGA
State: relaxed

abc: 4.674 4.674 8.813
angles: 74.62 74.62 60.00
Each line ends with the local moment (μB).
Element x y z (fractional)
Sb (0.275, 0.275, 0.176)  -0.09
Rb (0.498, 0.498, 0.507)  -0.01
Pu (0.668, 0.668, 0.997)  5.01
Sb (0.060, 0.060, 0.820)  -0.08

Computed properties:
Energy relative to the lowest polymorph listed for this composition in meV per atom: 171
Density of states at the Fermi level in states/eV per atom: 4.303
Uncorrected formation energy in eV/atom: -0.270



9.
Material: BRuWAu2
Method: DFT, PBE-GGA
State: relaxed

abc: 5.059 4.038 5.059
angles: 90.00 90.00 90.00
Each line ends with the local moment (μB).
Element x y z (fractional)
Au (0.000, 0.000, 0.500)  0.07
B (0.000, 0.500, 0.000)  0.00
Au (0.500, 0.000, 0.000)  0.05
W (0.000, 0.000, 0.000)  0.22
Ru (0.500, 0.500, 0.500)  2.56

Computed properties:
Energy relative to the lowest polymorph listed for this composition in meV per atom: 943
Density of states at the Fermi level in states/eV per atom: 1.029
Formation energy in eV/atom: 1.819



10.
Material: Ba3Nb2CuO9
Method: DFT, PBE-GGA
State: relaxed

abc: 5.855 5.855 7.197
angles: 90.00 90.00 120.00
Each line ends with the local moment (μB).
Element x y z (fractional)
Nb (0.333, 0.667, 0.178)  0.02
Ba (0.667, 0.333, 0.336)  0.00
O (0.500, 0.000, 0.000)  0.02
O (0.172, 0.828, 0.325)  0.05
O (0.000, 0.500, 0.000)  0.02
O (0.500, 0.500, 0.000)  0.02
O (0.172, 0.343, 0.325)  0.05
Nb (0.667, 0.333, 0.822)  0.02
O (0.828, 0.657, 0.675)  0.05
O (0.657, 0.828, 0.325)  0.05
O (0.828, 0.172, 0.675)  0.05
Cu (0.000, 0.000, 0.500)  0.62
O (0.343, 0.172, 0.675)  0.05
Ba (0.333, 0.667, 0.664)  0.00
Ba (0.000, 0.000, 0.000)  0.00

Computed properties:
Density of states at the Fermi level in states/eV per atom: 0.341
Uncorrected formation energy in eV/atom: -2.505



11.
Material: TbY2Ho3Tm6
Method: DFT, PBE-GGA
State: relaxed

abc: 6.089 6.089 11.651
angles: 94.99 94.99 119.94
Element x y z (fractional)
Tm (0.084, 0.417, 0.251)
Ho (0.833, 0.167, 0.500)
Y (0.333, 0.667, 0.000)
Ho (0.167, 0.833, 0.500)
Tm (0.751, 0.751, 0.251)
Tm (0.583, 0.916, 0.749)
Ho (0.500, 0.500, 0.500)
Tb (0.000, 0.000, 0.000)
Tm (0.417, 0.084, 0.251)
Tm (0.249, 0.249, 0.749)
Tm (0.916, 0.583, 0.749)
Y (0.667, 0.333, 0.000)

Computed properties:
Density of states at the Fermi level in states/eV per atom: 1.434
Formation energy in eV/atom: 0.026



12.
Material: Ce2NdSi2Pt2
Method: DFT, PBE-GGA
State: relaxed

abc: 4.277 4.277 9.651
angles: 77.20 77.20 60.00
Each line ends with the local moment (μB).
Element x y z (fractional)
Ce (0.139, 0.139, 0.584)  0.40
Si (0.743, 0.743, 0.772)  -0.01
Pt (0.406, 0.406, 0.782)  -0.01
Si (0.257, 0.257, 0.228)  -0.01
Nd (0.000, 0.000, 0.000)  0.00
Ce (0.861, 0.861, 0.416)  0.40
Pt (0.594, 0.594, 0.218)  -0.01

Computed properties:
Density of states at the Fermi level in states/eV per atom: 1.141
Uncorrected formation energy in eV/atom: -0.961